1.
Entry from Alexandria via LeMat-Bulk: an optimized crystal structure of CsNa2Li2 (PBE-GGA).

Lattice parameters (Å, degrees): 10.320 10.320 3.792 90.00 90.00 90.00
Atoms (fractional coordinates):
Cs: 0.000 0.000 0.000
Cs: 0.500 0.500 0.000
Na: 0.126 0.374 0.000
Na: 0.374 0.874 0.000
Na: 0.626 0.126 0.000
Na: 0.874 0.626 0.000
Li: 0.161 0.661 0.500
Li: 0.339 0.161 0.500
Li: 0.661 0.839 0.500
Li: 0.839 0.339 0.500

Calculated values
Fermi-level density of states	9.838	states/eV per cell
VASP energy	-0.098	Ry per atom
symmetry	No. 127

---

2.
Entry from Alexandria via LeMat-Bulk: an optimized crystal structure of CsNa8Li2 (PBE-GGA).

Lattice parameters (Å, degrees): 12.311 12.311 12.311 145.77 145.77 49.19
Atoms (fractional coordinates):
Cs: 0.000 0.000 0.000
Na: 0.086 0.086 0.501
Na: 0.086 0.585 0.000
Na: 0.415 0.415 0.501
Na: 0.415 0.914 0.000
Na: 0.585 0.086 0.000
Na: 0.585 0.585 0.499
Na: 0.914 0.415 0.000
Na: 0.914 0.914 0.499
Li: 0.250 0.750 0.500
Li: 0.750 0.250 0.500

Calculated values
Fermi-level density of states	8.107	states/eV per cell
VASP energy	-0.089	Ry per atom
symmetry	No. 139